[1]
CuAgSn4 | GGA-PBE | relaxed

Properties
total moment = 0.00 μB per formula unit
uncorrected energy = -90.23 eV/cell
E_form = 66.8 meV per atom

Unit cell a=8.6988 b=12.8837 c=5.8690 alpha=90.00 beta=118.45 gamma=90.00
Space group C2/c (No. 15)
Inequivalent atoms, fractional coordinates:
Cu  0.0000  0.0113  0.2500 (multiplicity 4)
Ag  0.0000  0.3614  0.2500 (multiplicity 4)
Sn  0.1230  0.1738  0.6049 (multiplicity 8)
Sn  0.2063  0.4325  0.8084 (multiplicity 8)

=====

[2]
CuAgSn2 | GGA-PBE | relaxed

Properties
total moment = 0.00 μB per formula unit
uncorrected energy = -58.41 eV/cell
E_form = 87.5 meV per atom

Unit cell a=9.4499 b=5.4411 c=7.8106 alpha=90.00 beta=118.18 gamma=90.00
Space group C2/c (No. 15)
Inequivalent atoms, fractional coordinates:
Cu  0.0000  0.2199  0.2500 (multiplicity 4)
Ag  0.0000  0.2779  0.7500 (multiplicity 4)
Sn  0.2059  0.0343  0.6126 (multiplicity 8)

=====

[3]
Cu3Ag5Sn12 | GGA-PBE | relaxed

Properties
total moment = 0.00 μB per formula unit
uncorrected energy = -571.80 eV/cell
E_form = 155.2 meV per atom

Unit cell a=16.1807 b=16.1807 c=16.1807 alpha=90.00 beta=90.00 gamma=90.00
Space group Ia-3d (No. 230)
Inequivalent atoms, fractional coordinates:
Cu  0.0000  0.2500  0.1250 (multiplicity 24)
Ag  0.0000  0.0000  0.0000 (multiplicity 16)
Ag  0.0000  0.2500  0.3750 (multiplicity 24)
Sn  0.0202  0.0876  0.6490 (multiplicity 96)

=====

[4]
CuAgSn | GGA-PBE | relaxed

Properties
total moment = 0.00 μB per formula unit
uncorrected energy = -10.50 eV/cell
E_form = 151.7 meV per atom

Unit cell a=4.5816 b=4.5816 c=3.1030 alpha=90.00 beta=90.00 gamma=120.00
Space group P3m1 (No. 156)
Inequivalent atoms, fractional coordinates:
Cu  0.0000  0.0000  0.0000 (multiplicity 1)
Ag  0.6667  0.3333  0.5789 (multiplicity 1)
Sn  0.3333  0.6667  0.0949 (multiplicity 1)

=====

[5]
CuAgSn2 | GGA-PBE | relaxed

Properties
total moment = 0.00 μB per formula unit
uncorrected energy = -57.02 eV/cell
E_form = 174.8 meV per atom

Unit cell a=4.4879 b=4.4879 c=17.9225 alpha=90.00 beta=90.00 gamma=90.00
Space group I-42d (No. 122)
Inequivalent atoms, fractional coordinates:
Cu  0.0000  0.0000  0.0000 (multiplicity 4)
Ag  0.0000  0.0000  0.5000 (multiplicity 4)
Sn  0.2345  0.2500  0.1250 (multiplicity 8)

=====

[6]
CuAgSn2 | GGA-PBE | relaxed

Properties
total moment = 0.00 μB per formula unit
uncorrected energy = -14.29 eV/cell
E_form = 164.9 meV per atom

Unit cell a=4.5549 b=4.5549 c=4.0203 alpha=90.00 beta=90.00 gamma=90.00
Space group P4/mmm (No. 123)
Inequivalent atoms, fractional coordinates:
Cu  0.0000  0.0000  0.0000 (multiplicity 1)
Ag  0.5000  0.5000  0.0000 (multiplicity 1)
Sn  0.0000  0.5000  0.5000 (multiplicity 2)

=====

[7]
CuAgSn3 | GGA-PBE | relaxed

Properties
total moment = 0.00 μB per formula unit
uncorrected energy = -17.19 eV/cell
E_form = 352.3 meV per atom

Unit cell a=5.0911 b=5.0911 c=5.0911 alpha=90.00 beta=90.00 gamma=90.00
Space group Pm-3m (No. 221)
Inequivalent atoms, fractional coordinates:
Cu  0.0000  0.0000  0.0000 (multiplicity 1)
Ag  0.5000  0.5000  0.5000 (multiplicity 1)
Sn  0.0000  0.0000  0.5000 (multiplicity 3)

=====

[8]
Cu3AgSn | GGA-PBE | relaxed

Properties
total moment = 0.00 μB per formula unit
uncorrected energy = -15.32 eV/cell
E_form = 764.7 meV per atom

Unit cell a=4.7357 b=4.7357 c=4.7357 alpha=90.00 beta=90.00 gamma=90.00
Space group Pm-3m (No. 221)
Inequivalent atoms, fractional coordinates:
Cu  0.0000  0.0000  0.5000 (multiplicity 3)
Ag  0.0000  0.0000  0.0000 (multiplicity 1)
Sn  0.5000  0.5000  0.5000 (multiplicity 1)

=====

[9]
CuAgSn | GGA-PBE | relaxed

Properties
total moment = 0.00 μB per formula unit
uncorrected energy = -43.03 eV/cell
E_form = 64.5 meV per atom

Unit cell a=6.2025 b=6.2025 c=6.2025 alpha=90.00 beta=90.00 gamma=90.00
Space group F-43m (No. 216)
Inequivalent atoms, fractional coordinates:
Cu  0.0000  0.0000  0.0000 (multiplicity 4)
Ag  0.2500  0.2500  0.7500 (multiplicity 4)
Sn  0.2500  0.2500  0.2500 (multiplicity 4)

=====

[10]
CuAgSn2 | GGA-PBE | relaxed

Properties
total moment = 0.00 μB per formula unit
uncorrected energy = -57.08 eV/cell
E_form = 171.0 meV per atom

Unit cell a=6.9563 b=6.9563 c=6.9563 alpha=90.00 beta=90.00 gamma=90.00
Space group Fm-3m (No. 225)
Inequivalent atoms, fractional coordinates:
Cu  0.0000  0.0000  0.0000 (multiplicity 4)
Ag  0.0000  0.0000  0.5000 (multiplicity 4)
Sn  0.2500  0.2500  0.2500 (multiplicity 8)

=====

[11]
CuAgSn | GGA-PBE | relaxed

Properties
total moment = 0.00 μB per formula unit
uncorrected energy = -21.30 eV/cell
E_form = 100.4 meV per atom

Unit cell a=3.5991 b=3.5991 c=8.5267 alpha=90.00 beta=90.00 gamma=90.00
Space group I4mm (No. 107)
Inequivalent atoms, fractional coordinates:
Cu  0.0000  0.0000  0.0000 (multiplicity 2)
Ag  0.0000  0.0000  0.6598 (multiplicity 2)
Sn  0.0000  0.0000  0.3336 (multiplicity 2)

=====

[12]
Cu2Ag5Sn4 | GGA-PBE | relaxed

Properties
total moment = 0.00 μB per formula unit
uncorrected energy = -37.63 eV/cell
E_form = 75.3 meV per atom

Unit cell a=7.2380 b=3.4263 c=9.0028 alpha=90.00 beta=94.86 gamma=90.00
Space group P2/m (No. 10)
Inequivalent atoms, fractional coordinates:
Cu  0.0794  0.0000  0.1316 (multiplicity 2)
Ag  0.1558  0.0000  0.6412 (multiplicity 2)
Ag  0.4626  0.0000  0.1752 (multiplicity 2)
Ag  0.5000  0.0000  0.5000 (multiplicity 1)
Sn  0.2000  0.5000  0.3623 (multiplicity 2)
Sn  0.2331  0.5000  0.9259 (multiplicity 2)

=====

> total moment of number 10 (CuAgSn2)?

0.00 μB per formula unit

=====

> Which formula does entry 4 have?

CuAgSn

=====

Repeat the ninth record exactly.
CuAgSn | GGA-PBE | relaxed

Properties
total moment = 0.00 μB per formula unit
uncorrected energy = -43.03 eV/cell
E_form = 64.5 meV per atom

Unit cell a=6.2025 b=6.2025 c=6.2025 alpha=90.00 beta=90.00 gamma=90.00
Space group F-43m (No. 216)
Inequivalent atoms, fractional coordinates:
Cu  0.0000  0.0000  0.0000 (multiplicity 4)
Ag  0.2500  0.2500  0.7500 (multiplicity 4)
Sn  0.2500  0.2500  0.2500 (multiplicity 4)